Record 1
{
  "formula": "ScU2O8",
  "functional": "PBE-GGA",
  "state": "optimized geometry",
  "cell": [[3.3934, -4.6421, 0.0000], [3.3934, 4.6421, 0.0000], [-1.2601, 0.0000, 4.1662]],
  "species": ["Sc", "U", "U", "O", "O", "O", "O", "O", "O", "O", "O"],
  "fractional_positions": [[0.0000, 0.0000, 0.0000], [0.3090, 0.6910, 0.5000], [0.6910, 0.3090, 0.5000], [0.0595, 0.3353, 0.6196], [0.2249, 0.7751, 0.0000], [0.3353, 0.0595, 0.6196], [0.3498, 0.3498, 0.2338], [0.6502, 0.6502, 0.7662], [0.6647, 0.9405, 0.3804], [0.7751, 0.2249, 0.0000], [0.9405, 0.6647, 0.3804]],
  "m_tot_mub_per_cell": 0.90,
  "mass_density_g_cm3": 8.2,
  "energy_ev_per_cell": -97.74
}

---

Record 2
{
  "formula": "ScUO",
  "functional": "PBE-GGA",
  "state": "optimized geometry",
  "cell": [[3.4045, 0.0000, 0.0000], [0.0000, 4.0512, 0.0000], [-0.1904, 0.0000, 7.4653]],
  "species": ["Sc", "Sc", "U", "U", "O", "O"],
  "fractional_positions": [[0.1227, 0.2500, 0.3528], [0.8773, 0.7500, 0.6472], [0.3345, 0.2500, 0.9236], [0.6655, 0.7500, 0.0764], [0.0455, 0.2500, 0.6336], [0.9545, 0.7500, 0.3664]],
  "m_tot_mub_per_cell": 0.00,
  "mass_density_g_cm3": 9.6,
  "energy_ev_per_cell": -54.99
}

---

Record 3
{
  "formula": "Sc5U3O12",
  "functional": "PBE-GGA",
  "state": "optimized geometry",
  "cell": [[-6.4942, 6.4942, 6.4942], [6.4942, -6.4942, 6.4942], [6.4942, 6.4942, -6.4942]],
  "species": ["Sc", "Sc", "Sc", "Sc", "Sc", "Sc", "Sc", "Sc", "Sc", "Sc", "Sc", "Sc", "Sc", "Sc", "Sc", "Sc", "Sc", "Sc", "Sc", "Sc", "U", "U", "U", "U", "U", "U", "U", "U", "U", "U", "U", "U", "O", "O", "O", "O", "O", "O", "O", "O", "O", "O", "O", "O", "O", "O", "O", "O", "O", "O", "O", "O", "O", "O", "O", "O", "O", "O", "O", "O", "O", "O", "O", "O", "O", "O", "O", "O", "O", "O", "O", "O", "O", "O", "O", "O", "O", "O", "O", "O"],
  "fractional_positions": [[0.0000, 0.0000, 0.0000], [0.0000, 0.0000, 0.5000], [0.0000, 0.5000, 0.0000], [0.0000, 0.5000, 0.5000], [0.1250, 0.7500, 0.8750], [0.1250, 0.8750, 0.2500], [0.2500, 0.1250, 0.8750], [0.2500, 0.6250, 0.3750], [0.3750, 0.2500, 0.6250], [0.3750, 0.6250, 0.7500], [0.5000, 0.0000, 0.0000], [0.5000, 0.0000, 0.5000], [0.5000, 0.5000, 0.0000], [0.5000, 0.5000, 0.5000], [0.6250, 0.3750, 0.2500], [0.6250, 0.7500, 0.3750], [0.7500, 0.3750, 0.6250], [0.7500, 0.8750, 0.1250], [0.8750, 0.1250, 0.7500], [0.8750, 0.2500, 0.1250], [0.1250, 0.2500, 0.3750], [0.1250, 0.3750, 0.7500], [0.2500, 0.3750, 0.1250], [0.2500, 0.8750, 0.6250], [0.3750, 0.1250, 0.2500], [0.3750, 0.7500, 0.1250], [0.6250, 0.2500, 0.8750], [0.6250, 0.8750, 0.7500], [0.7500, 0.1250, 0.3750], [0.7500, 0.6250, 0.8750], [0.8750, 0.6250, 0.2500], [0.8750, 0.7500, 0.6250], [0.0357, 0.2125, 0.1245], [0.0357, 0.3232, 0.9112], [0.0880, 0.7125, 0.6768], [0.0880, 0.8755, 0.4112], [0.0888, 0.6245, 0.4120], [0.0888, 0.9643, 0.6768], [0.1245, 0.0357, 0.2125], [0.1245, 0.5888, 0.9120], [0.1768, 0.2125, 0.5880], [0.1768, 0.4643, 0.5888], [0.2125, 0.1245, 0.0357], [0.2125, 0.5880, 0.1768], [0.2875, 0.3232, 0.9120], [0.2875, 0.4643, 0.3755], [0.3232, 0.9112, 0.0357], [0.3232, 0.9120, 0.2875], [0.3755, 0.2875, 0.4643], [0.3755, 0.5880, 0.9112], [0.4112, 0.0880, 0.8755], [0.4112, 0.8232, 0.5357], [0.4120, 0.0888, 0.6245], [0.4120, 0.8232, 0.7875], [0.4643, 0.3755, 0.2875], [0.4643, 0.5888, 0.1768], [0.5357, 0.4112, 0.8232], [0.5357, 0.6245, 0.7125], [0.5880, 0.1768, 0.2125], [0.5880, 0.9112, 0.3755], [0.5888, 0.1768, 0.4643], [0.5888, 0.9120, 0.1245], [0.6245, 0.4120, 0.0888], [0.6245, 0.7125, 0.5357], [0.6768, 0.0880, 0.7125], [0.6768, 0.0888, 0.9643], [0.7125, 0.5357, 0.6245], [0.7125, 0.6768, 0.0880], [0.7875, 0.4120, 0.8232], [0.7875, 0.8755, 0.9643], [0.8232, 0.5357, 0.4112], [0.8232, 0.7875, 0.4120], [0.8755, 0.4112, 0.0880], [0.8755, 0.9643, 0.7875], [0.9112, 0.0357, 0.3232], [0.9112, 0.3755, 0.5880], [0.9120, 0.1245, 0.5888], [0.9120, 0.2875, 0.3232], [0.9643, 0.6768, 0.0888], [0.9643, 0.7875, 0.8755]],
  "m_tot_mub_per_cell": 36.00,
  "mass_density_g_cm3": 6.9,
  "energy_ev_per_cell": -749.59
}

---

| no. | DOS(E_F) (states/eV/f.u.) |
| --- | --- |
| 1 | 6.952 |
| 2 | 3.785 |
| 3 | 23.086 |